Computed, not measured: a relaxed Li3Sn crystal at the GGA-PBEsol level of DFT.

Cell: 6.494 6.494 6.494 Å, 90.00 90.00 90.00°
Space group Fm-3m (No. 225)
One atom of each set of equivalent atoms:
Li1 0.000 0.000 0.000 [4 per cell]
Li2 0.250 0.250 0.250 [8 per cell]
Sn1 0.000 0.000 0.500 [4 per cell]

Output
D(E_F): 1.2 states/eV/f.u.
ΔE_f: -1.62 eV/f.u.